No. 1
! CsHfCd (PBE, optimized geometry); values from VASP
&SYSTEM
  ibrav = 0, nat = 3, ntyp = 3
/
ATOMIC_SPECIES
Cs 132.91 Cs.upf
Hf 178.49 Hf.upf
Cd 112.41 Cd.upf
CELL_PARAMETERS angstrom
0.000 3.819 3.819
3.819 0.000 3.819
3.819 3.819 0.000
ATOMIC_POSITIONS angstrom
Cs 0.000 0.000 0.000
Hf 1.909 1.909 1.909
Cd 5.728 5.728 5.728
! ΔE to the lowest computed polymorph	445.9	meV per atom
! crystal system	cubic



No. 2
! LiScCuB (PBE, optimized geometry); values from VASP
&SYSTEM
  ibrav = 0, nat = 4, ntyp = 4
/
ATOMIC_SPECIES
Li 6.94 Li.upf
Sc 44.96 Sc.upf
Cu 63.55 Cu.upf
B 10.81 B.upf
CELL_PARAMETERS angstrom
0.000 2.873 2.873
2.873 0.000 2.873
2.873 2.873 0.000
ATOMIC_POSITIONS angstrom
Li 0.000 0.000 0.000
Sc 1.437 1.437 1.437
Cu 4.310 4.310 4.310
B 2.873 2.873 2.873
! ΔE to the lowest computed polymorph	0.0	meV per atom
! crystal system	cubic



No. 3
! AcB4W (PBE, optimized geometry); values from VASP
&SYSTEM
  ibrav = 0, nat = 6, ntyp = 3
/
ATOMIC_SPECIES
Ac 227.00 Ac.upf
B 10.81 B.upf
W 183.84 W.upf
CELL_PARAMETERS angstrom
-1.595 2.831 3.969
1.595 -2.831 3.969
1.595 2.831 -3.969
ATOMIC_POSITIONS angstrom
Ac 0.000 0.000 0.000
B 1.595 -0.892 2.074
B 1.595 0.892 2.074
B 0.000 1.939 1.895
B 0.000 3.723 1.895
W 0.000 0.000 3.969
! ΔE to the lowest computed polymorph	402.8	meV per atom
! crystal system	orthorhombic



No. 4
! Ho3SnTe2 (PBE, optimized geometry); values from VASP
&SYSTEM
  ibrav = 0, nat = 6, ntyp = 3
/
ATOMIC_SPECIES
Ho 164.93 Ho.upf
Sn 118.71 Sn.upf
Te 127.60 Te.upf
CELL_PARAMETERS angstrom
-2.191 3.072 6.537
2.191 -3.072 6.537
2.191 3.072 -6.537
ATOMIC_POSITIONS angstrom
Ho 0.000 0.000 0.000
Ho 0.000 0.000 4.466
Ho 0.000 0.000 8.607
Sn 0.000 3.072 0.000
Te 2.191 0.000 2.213
Te 0.000 3.072 4.323
! crystal system	orthorhombic



No. 5
! LiTa2Pb (PBE, optimized geometry); values from VASP
&SYSTEM
  ibrav = 0, nat = 4, ntyp = 3
/
ATOMIC_SPECIES
Li 6.94 Li.upf
Ta 180.95 Ta.upf
Pb 207.20 Pb.upf
CELL_PARAMETERS angstrom
0.000 3.358 3.358
3.358 0.000 3.358
3.358 3.358 0.000
ATOMIC_POSITIONS angstrom
Li 0.000 0.000 0.000
Ta 1.679 1.679 1.679
Ta 3.358 3.358 3.358
Pb 5.037 5.037 5.037
! crystal system	cubic



No. 6
! Ba3GdAu4 (PBE, optimized geometry); values from VASP
&SYSTEM
  ibrav = 0, nat = 8, ntyp = 3
/
ATOMIC_SPECIES
Ba 137.33 Ba.upf
Gd 157.25 Gd.upf
Au 196.97 Au.upf
CELL_PARAMETERS angstrom
6.229 0.000 0.000
0.000 5.009 0.000
-0.452 0.000 7.896
ATOMIC_POSITIONS angstrom
Ba 0.000 0.000 0.000
Ba 1.085 0.000 3.916
Ba 2.710 2.505 6.889
Gd 4.267 2.505 2.880
Au 1.185 2.505 1.859
Au 3.254 0.000 1.414
Au 4.167 0.000 4.767
Au 5.757 2.505 5.545
! crystal system	monoclinic



No. 7
! Be2ZnW (PBE, optimized geometry); values from VASP
&SYSTEM
  ibrav = 0, nat = 4, ntyp = 3
/
ATOMIC_SPECIES
Be 9.01 Be.upf
Zn 65.41 Zn.upf
W 183.84 W.upf
CELL_PARAMETERS angstrom
0.000 2.905 2.905
2.905 0.000 2.905
2.905 2.905 0.000
ATOMIC_POSITIONS angstrom
Be 0.000 0.000 0.000
Be 1.452 1.452 1.452
Zn 4.357 4.357 4.357
W 2.905 2.905 2.905
! crystal system	cubic



No. 8
! ZrSn2 (PBE, optimized geometry); values from VASP
&SYSTEM
  ibrav = 0, nat = 6, ntyp = 2
/
ATOMIC_SPECIES
Zr 91.22 Zr.upf
Sn 118.71 Sn.upf
CELL_PARAMETERS angstrom
5.460 -1.747 0.000
5.460 1.747 0.000
-2.795 0.000 7.506
ATOMIC_POSITIONS angstrom
Zr 1.599 0.000 1.113
Zr 6.526 0.000 6.393
Sn 0.090 0.000 4.067
Sn 4.574 0.000 1.311
Sn 3.552 0.000 6.195
Sn 8.035 0.000 3.439
! crystal system	monoclinic



Number 1: spin magnetization 0.080 μB per cell, electronic total energy -2.175 eV/atom. Number 2: spin magnetization 0.000 μB per cell, electronic total energy -4.707 eV/atom. Number 3: spin magnetization 0.001 μB per cell, electronic total energy -7.010 eV/atom. Number 4: spin magnetization 0.004 μB per cell, electronic total energy -5.146 eV/atom. Number 5: spin magnetization 0.003 μB per cell, electronic total energy -6.822 eV/atom. Number 6: spin magnetization 0.004 μB per cell, electronic total energy -3.633 eV/atom. Number 7: spin magnetization 1.219 μB per cell, electronic total energy -4.841 eV/atom. Number 8: spin magnetization 0.021 μB per cell, electronic total energy -5.808 eV/atom.